KIn2Sb: optimized geometry, PBE-GGA.

Output
Its mass density is 5.24 g/cm³. As for the energy relative to the elements, uncorrected: -10.22 kJ per mole of atoms. As for the density of states at the Fermi level: 1.450 states/eV per cell.

abc: 5.525 3.484 6.493
angles: 82.05 90.00 90.00
Positions (direct):
Sb  0.500  0.750  0.750
In  0.000  0.903  0.970
In  0.000  0.597  0.530
K  0.500  0.250  0.250


KIn4Sb: optimized geometry, PBE-GGA.

Output
Its mass density is 5.63 g/cm³. As for the energy relative to the elements, uncorrected: 2.12 kJ per mole of atoms. As for the density of states at the Fermi level: 3.660 states/eV per cell.

abc: 6.371 6.371 6.371
angles: 60.00 60.00 60.00
Positions (direct):
In  0.374  0.374  0.374
Sb  0.000  0.000  0.000
K  0.750  0.750  0.750
In  0.374  0.374  0.877
In  0.877  0.374  0.374
In  0.374  0.877  0.374


K2In2Sb: optimized geometry, PBE-GGA.

Output
Its mass density is 4.15 g/cm³. As for the energy relative to the elements, uncorrected: 6.44 kJ per mole of atoms. As for the density of states at the Fermi level: 6.634 states/eV per cell.

abc: 9.488 9.488 3.819
angles: 90.00 90.00 90.00
Positions (direct):
In  0.114  0.386  0.000
In  0.386  0.886  0.000
K  0.816  0.316  0.500
K  0.184  0.684  0.500
In  0.886  0.614  0.000
Sb  0.000  0.000  0.000
K  0.316  0.184  0.500
Sb  0.500  0.500  0.000
K  0.684  0.816  0.500
In  0.614  0.114  0.000


KInSb: optimized geometry, PBE-GGA.

Output
Its mass density is 4.41 g/cm³. As for the energy relative to the elements, uncorrected: -34.95 kJ per mole of atoms. As for the density of states at the Fermi level: 0.573 states/eV per cell.

abc: 8.734 4.612 12.073
angles: 90.00 121.43 90.00
Positions (direct):
In  0.453  0.500  0.860
In  0.453  0.000  0.360
In  0.547  0.000  0.640
In  0.547  0.500  0.140
Sb  0.750  0.000  0.303
Sb  0.750  0.500  0.803
K  0.845  0.500  0.561
K  0.155  0.000  0.939
K  0.155  0.500  0.439
K  0.845  0.000  0.061
Sb  0.250  0.000  0.697
Sb  0.250  0.500  0.197


KInSb: optimized geometry, PBE-GGA.

Output
Its mass density is 3.93 g/cm³. As for the energy relative to the elements, uncorrected: -26.37 kJ per mole of atoms. As for the density of states at the Fermi level: 0.067 states/eV per cell.

abc: 7.431 4.690 13.763
angles: 90.00 103.81 90.00
Positions (direct):
K  0.554  0.500  0.137
Sb  0.128  0.000  0.719
K  0.005  0.500  0.497
K  0.005  0.000  0.997
In  0.448  0.500  0.415
In  0.448  0.000  0.915
Sb  0.651  0.000  0.357
Sb  0.128  0.500  0.219
K  0.554  0.000  0.637
In  0.947  0.500  0.767
In  0.947  0.000  0.267
Sb  0.651  0.500  0.857


KIn2Sb: optimized geometry, PBE-GGA.

Output
Its mass density is 4.97 g/cm³. As for the energy relative to the elements, uncorrected: -12.79 kJ per mole of atoms. As for the density of states at the Fermi level: 2.183 states/eV per cell.

abc: 4.042 4.042 7.985
angles: 90.00 90.00 90.13
Positions (direct):
In  0.000  0.000  0.555
K  0.500  0.500  0.250
Sb  0.500  0.500  0.750
In  0.000  0.000  0.945


KInSb2: optimized geometry, PBE-GGA.

Output
Its mass density is 5.09 g/cm³. As for the energy relative to the elements, uncorrected: -12.21 kJ per mole of atoms. As for the density of states at the Fermi level: 1.247 states/eV per cell.

abc: 5.602 3.363 6.899
angles: 85.55 90.00 90.00
Positions (direct):
Sb  0.500  0.117  0.252
In  0.000  0.542  0.437
Sb  0.000  0.143  0.044
K  0.500  0.699  0.766


KIn3Sb3: optimized geometry, PBE-GGA.

Output
Its mass density is 4.48 g/cm³. As for the energy relative to the elements, uncorrected: -11.18 kJ per mole of atoms. As for the density of states at the Fermi level: 4.257 states/eV per cell.

abc: 8.218 8.218 8.218
angles: 90.00 90.00 90.00
Positions (direct):
Sb  0.750  0.500  0.000
K  0.500  0.500  0.500
Sb  0.000  0.250  0.500
Sb  0.000  0.750  0.500
Sb  0.250  0.500  0.000
K  0.000  0.000  0.000
Sb  0.500  0.000  0.750
Sb  0.500  0.000  0.250
In  0.250  0.000  0.500
In  0.750  0.000  0.500
In  0.000  0.500  0.750
In  0.500  0.250  0.000
In  0.000  0.500  0.250
In  0.500  0.750  0.000


KIn2Sb: optimized geometry, PBE-GGA.

Output
Its mass density is 5.05 g/cm³. As for the energy relative to the elements, uncorrected: -14.82 kJ per mole of atoms. As for the density of states at the Fermi level: 1.412 states/eV per cell.

abc: 4.043 4.040 7.859
angles: 90.00 90.00 90.00
Positions (direct):
In  0.000  0.000  0.987
In  0.500  0.500  0.196
Sb  0.500  0.500  0.811
K  0.000  0.000  0.505


KInSb: optimized geometry, PBE-GGA.

Output
Its mass density is 4.43 g/cm³. As for the energy relative to the elements, uncorrected: -30.75 kJ per mole of atoms. As for the density of states at the Fermi level: 1.545 states/eV per cell.

abc: 8.559 4.735 13.237
angles: 90.00 129.60 90.00
Positions (direct):
K  0.079  0.500  0.461
In  0.589  0.500  0.603
K  0.706  0.500  0.958
K  0.706  0.000  0.458
K  0.079  0.000  0.961
Sb  0.528  0.500  0.205
Sb  0.030  0.500  0.718
In  0.285  0.500  0.297
Sb  0.030  0.000  0.218
In  0.589  0.000  0.103
Sb  0.528  0.000  0.705
In  0.285  0.000  0.797


KInSb: optimized geometry, PBE-GGA.

Output
Its mass density is 4.09 g/cm³. As for the energy relative to the elements, uncorrected: 24.89 kJ per mole of atoms. As for the density of states at the Fermi level: 3.048 states/eV per cell.

abc: 5.408 5.408 5.408
angles: 60.00 60.00 60.00
Positions (direct):
In  0.500  0.500  0.500
Sb  0.000  0.000  0.000
K  0.750  0.750  0.750


KIn2Sb: optimized geometry, PBE-GGA.

Output
Its mass density is 4.96 g/cm³. As for the energy relative to the elements, uncorrected: -12.38 kJ per mole of atoms. As for the density of states at the Fermi level: 1.260 states/eV per cell.

abc: 5.238 3.504 7.212
angles: 81.09 90.00 90.00
Positions (direct):
In  0.500  0.267  0.167
In  0.000  0.832  0.022
Sb  0.500  0.909  0.786
K  0.000  0.493  0.525


Which value of mass density does entry 2 give? 5.63 g/cm³